No. 1
Density functional theory data (GGA-PBE) for a relaxed structure of Mn3AgCl.

a = 4.3018 Å, b = 4.3018 Å, c = 4.3018 Å
α = 90.00°, β = 90.00°, γ = 90.00°
Closest atoms and distances in Å follow each position.
Positions (direct):
1 Mn 0.0000 0.0000 0.5000  2 Cl 2.15
2 Mn 0.0000 0.5000 0.0000  2 Cl 2.15
3 Mn 0.5000 0.0000 0.0000  2 Cl 2.15
4 Ag 0.5000 0.5000 0.5000  12 Mn 3.04
5 Cl 0.0000 0.0000 0.0000  6 Mn 2.15

Summary:
Formation energy without anion corrections: 3.4 eV per formula unit
VASP energy: -28.85 eV per formula unit
Total magnetic moment: 9.1 Bohr magnetons per cell

---

No. 2
Density functional theory data (GGA-PBE) for a relaxed structure of Pd4RhSe8.

a = 7.3732 Å, b = 7.3732 Å, c = 7.3732 Å
α = 61.03°, β = 61.03°, γ = 61.03°
Closest atoms and distances in Å follow each position.
Positions (direct):
1 Pd 0.0000 0.0000 0.0000  6 Se 2.70
2 Pd 0.0000 0.5000 0.5000  6 Se 2.52-2.54
3 Pd 0.5000 0.0000 0.5000  6 Se 2.52-2.54
4 Pd 0.5000 0.5000 0.0000  6 Se 2.52-2.54
5 Rh 0.5000 0.5000 0.5000  6 Se 2.57
6 Se 0.2558 0.2558 0.7222  3 Pd 2.52-2.70, 1 Rh 2.57
7 Se 0.2558 0.7222 0.2558  3 Pd 2.52-2.70, 1 Rh 2.57
8 Se 0.2589 0.2589 0.2589  3 Pd 2.54
9 Se 0.2778 0.7442 0.7442  3 Pd 2.52-2.70, 1 Rh 2.57
10 Se 0.7222 0.2558 0.2558  3 Pd 2.52-2.70, 1 Rh 2.57
11 Se 0.7411 0.7411 0.7411  3 Pd 2.54
12 Se 0.7442 0.2778 0.7442  3 Pd 2.52-2.70, 1 Rh 2.57
13 Se 0.7442 0.7442 0.2778  3 Pd 2.52-2.70, 1 Rh 2.57

Summary:
Formation energy without anion corrections: -3.0 eV per formula unit
VASP energy: -59.00 eV per formula unit
Total magnetic moment: 0.0 Bohr magnetons per cell

---

No. 3
Density functional theory data (GGA-PBE) for a relaxed structure of TaBePt2.

a = 3.8931 Å, b = 3.8931 Å, c = 3.9076 Å
α = 90.00°, β = 90.00°, γ = 90.00°
Closest atoms and distances in Å follow each position.
Positions (direct):
1 Ta 0.0000 0.0000 0.0000  4 Be 2.75, 8 Pt 2.76
2 Be 0.5000 0.5000 0.0000  4 Ta 2.75, 8 Pt 2.76
3 Pt 0.0000 0.5000 0.5000  4 Pt 2.75, 4 Ta 2.76, 4 Be 2.76
4 Pt 0.5000 0.0000 0.5000  4 Pt 2.75, 4 Ta 2.76, 4 Be 2.76

Summary:
Calculated formation energy: -337 meV/atom
VASP energy: -29.01 eV per formula unit
Total magnetic moment: 0.0 Bohr magnetons per cell

---

No. 4
Density functional theory data (GGA-PBE) for a relaxed structure of Tb2Ge2BRu2.

a = 5.9192 Å, b = 5.9192 Å, c = 6.9887 Å
α = 125.93°, β = 125.93°, γ = 42.02°
Closest atoms and distances in Å follow each position.
Positions (direct):
1 Tb 0.0619 0.0619 0.3278  2 B 2.73
2 Tb 0.9381 0.9381 0.6722  2 B 2.73
3 Ge 0.3429 0.3429 0.8877  3 Ru 2.45-2.49
4 Ge 0.6571 0.6571 0.1123  3 Ru 2.45-2.49
5 B 0.5000 0.5000 0.5000  2 Ru 1.95
6 Ru 0.2906 0.2906 0.1861  1 B 1.95
7 Ru 0.7094 0.7094 0.8139  1 B 1.95

Summary:
Calculated formation energy: -730 meV/atom
VASP energy: -48.83 eV per formula unit
Total magnetic moment: 0.0 Bohr magnetons per cell

---

No. 5
Density functional theory data (GGA-PBE) for a relaxed structure of Ho6ErTm2.

a = 10.5125 Å, b = 10.5125 Å, c = 4.9628 Å
α = 90.00°, β = 90.00°, γ = 90.00°
Closest atoms and distances in Å follow each position.
Positions (direct):
1 Ho 0.0003 0.3330 0.0000  1 Er 3.50, 3 Tm 3.50-3.51, 8 Ho 3.50-3.51
2 Ho 0.9997 0.6670 0.0000  1 Er 3.50, 3 Tm 3.50-3.51, 8 Ho 3.50-3.51
3 Ho 0.1665 0.1665 0.5000  4 Tm 3.50-3.51, 6 Ho 3.50-3.51, 2 Er 3.50
4 Ho 0.1670 0.5003 0.5000  1 Er 3.50, 3 Tm 3.50-3.51, 8 Ho 3.50-3.51
5 Ho 0.3330 0.0003 0.0000  1 Er 3.50, 3 Tm 3.50-3.51, 8 Ho 3.50-3.51
6 Ho 0.3335 0.6665 0.0000  4 Tm 3.50-3.51, 6 Ho 3.50-3.51, 2 Er 3.50
7 Ho 0.5003 0.1670 0.5000  1 Er 3.50, 3 Tm 3.50-3.51, 8 Ho 3.50-3.51
8 Ho 0.4997 0.8330 0.5000  1 Er 3.50, 3 Tm 3.50-3.51, 8 Ho 3.50-3.51
9 Ho 0.6665 0.3335 0.0000  4 Tm 3.50-3.51, 6 Ho 3.50-3.51, 2 Er 3.50
10 Ho 0.6670 0.9997 0.0000  1 Er 3.50, 3 Tm 3.50-3.51, 8 Ho 3.50-3.51
11 Ho 0.8330 0.4997 0.5000  1 Er 3.50, 3 Tm 3.50-3.51, 8 Ho 3.50-3.51
12 Ho 0.8335 0.8335 0.5000  4 Tm 3.50-3.51, 6 Ho 3.50-3.51, 2 Er 3.50
13 Er 0.0000 0.0000 0.0000  8 Ho 3.50, 4 Tm 3.51
14 Er 0.5000 0.5000 0.5000  8 Ho 3.50, 4 Tm 3.51
15 Tm 0.1666 0.8334 0.5000  10 Ho 3.50-3.51, 2 Er 3.51
16 Tm 0.3334 0.3334 0.0000  10 Ho 3.50-3.51, 2 Er 3.51
17 Tm 0.6666 0.6666 0.0000  10 Ho 3.50-3.51, 2 Er 3.51
18 Tm 0.8334 0.1666 0.5000  10 Ho 3.50-3.51, 2 Er 3.51

Summary:
Calculated formation energy: 23 meV/atom
VASP energy: -40.77 eV per formula unit
Total magnetic moment: 0.0 Bohr magnetons per cell

---

No. 6
Density functional theory data (GGA-PBE) for a relaxed structure of Li2SbMo.

a = 3.4689 Å, b = 3.4794 Å, c = 5.8912 Å
α = 90.00°, β = 90.00°, γ = 90.00°
Closest atoms and distances in Å follow each position.
Positions (direct):
1 Li 0.0000 0.0000 0.0000  2 Sb 2.79-3.10, 4 Li 2.82, 4 Mo 2.91
2 Li 0.5000 0.5000 0.2363  4 Li 2.82, 2 Mo 2.94-2.95, 4 Sb 2.99
3 Sb 0.0000 0.0000 0.5264  4 Mo 2.75, 5 Li 2.79-2.99
4 Mo 0.5000 0.5000 0.7357  4 Sb 2.75, 6 Li 2.91-2.95

Summary:
Formation energy without anion corrections: 0.4 eV per formula unit
VASP energy: -18.36 eV per formula unit
Total magnetic moment: 0.0 Bohr magnetons per cell

---

No. 7
Density functional theory data (GGA-PBE) for a relaxed structure of MgZnCr4.

a = 4.8576 Å, b = 4.8576 Å, c = 4.8576 Å
α = 60.00°, β = 60.00°, γ = 60.00°
Closest atoms and distances in Å follow each position.
Positions (direct):
1 Mg 0.0000 0.0000 0.0000  12 Cr 2.85, 4 Zn 2.97
2 Zn 0.2500 0.2500 0.2500  12 Cr 2.85, 4 Mg 2.97
3 Cr 0.1262 0.6246 0.6246  6 Cr 2.42-2.44
4 Cr 0.6246 0.1262 0.6246  6 Cr 2.42-2.44
5 Cr 0.6246 0.6246 0.1262  6 Cr 2.42-2.44
6 Cr 0.6246 0.6246 0.6246  6 Cr 2.42-2.44

Summary:
Calculated formation energy: 402 meV/atom
VASP energy: -38.95 eV per formula unit
Total magnetic moment: 0.0 Bohr magnetons per cell

---

No. 8
Density functional theory data (GGA-PBE) for a relaxed structure of ZrAs2Rh.

a = 3.5891 Å, b = 3.5891 Å, c = 5.5646 Å
α = 90.00°, β = 90.00°, γ = 90.00°
Closest atoms and distances in Å follow each position.
Positions (direct):
1 Zr 0.0000 0.0000 0.0000  6 As 2.69-2.85
2 As 0.0000 0.0000 0.5114  4 Rh 2.64, 2 Zr 2.72-2.85
3 As 0.5000 0.5000 0.1617  2 Rh 2.69-2.88, 4 Zr 2.69
4 Rh 0.5000 0.5000 0.6451  6 As 2.64-2.88

Summary:
Calculated formation energy: -650 meV/atom
VASP energy: -27.80 eV per formula unit
Total magnetic moment: 0.0 Bohr magnetons per cell

---

No. 9
Density functional theory data (GGA-PBE) for a relaxed structure of La3TiIn12.

a = 4.7104 Å, b = 4.7104 Å, c = 18.7036 Å
α = 90.00°, β = 90.00°, γ = 90.00°
Closest atoms and distances in Å follow each position.
Positions (direct):
1 La 0.0000 0.0000 0.0000  12 In 3.33-3.38
2 La 0.0000 0.0000 0.2619  12 In 3.33-3.41
3 La 0.0000 0.0000 0.7381  12 In 3.33-3.41
4 Ti 0.0000 0.0000 0.5000  12 In 3.14-3.33
5 In 0.0000 0.5000 0.1299  8 In 3.32-3.38, 4 La 3.38-3.41
6 In 0.0000 0.5000 0.3892  8 In 3.14-3.44, 2 Ti 3.14, 2 La 3.35
7 In 0.0000 0.5000 0.6108  8 In 3.14-3.44, 2 Ti 3.14, 2 La 3.35
8 In 0.0000 0.5000 0.8701  8 In 3.32-3.38, 4 La 3.38-3.41
9 In 0.5000 0.0000 0.1299  8 In 3.32-3.38, 4 La 3.38-3.41
10 In 0.5000 0.0000 0.3892  8 In 3.14-3.44, 2 Ti 3.14, 2 La 3.35
11 In 0.5000 0.0000 0.6108  8 In 3.14-3.44, 2 Ti 3.14, 2 La 3.35
12 In 0.5000 0.0000 0.8701  8 In 3.32-3.38, 4 La 3.38-3.41
13 In 0.5000 0.5000 0.0000  4 La 3.33, 8 In 3.38
14 In 0.5000 0.5000 0.2553  8 In 3.32-3.44, 4 La 3.33
15 In 0.5000 0.5000 0.5000  8 In 3.14, 4 Ti 3.33
16 In 0.5000 0.5000 0.7447  8 In 3.32-3.44, 4 La 3.33

Summary:
Calculated formation energy: -361 meV/atom
VASP energy: -61.32 eV per formula unit
Total magnetic moment: 0.0 Bohr magnetons per cell

---

No. 10
Density functional theory data (GGA-PBE) for a relaxed structure of K2NaAg2I6.

a = 8.6783 Å, b = 8.6783 Å, c = 8.9484 Å
α = 116.96°, β = 116.96°, γ = 52.23°
Closest atoms and distances in Å follow each position.
Positions (direct):
1 K 0.2457 0.2457 0.2291  5 I 3.53-3.75
2 K 0.7543 0.7543 0.7709  5 I 3.53-3.75
3 Na 0.0000 0.0000 0.5000  6 I 3.21-3.27
4 Ag 0.4372 0.4372 0.8057  3 I 2.72-2.78, 1 Ag 3.01
5 Ag 0.5628 0.5628 0.1943  3 I 2.72-2.78, 1 Ag 3.01
6 I 0.1709 0.6869 0.1648  1 Ag 2.78
7 I 0.2350 0.2350 0.6138  1 Ag 2.72
8 I 0.3131 0.8291 0.8352  1 Ag 2.78
9 I 0.6869 0.1709 0.1648  1 Ag 2.78
10 I 0.7650 0.7650 0.3862  1 Ag 2.72
11 I 0.8291 0.3131 0.8352  1 Ag 2.78

Summary:
Formation energy without anion corrections: -8.6 eV per formula unit
VASP energy: -27.11 eV per formula unit
Total magnetic moment: 0.0 Bohr magnetons per cell

---

No. 11
Density functional theory data (GGA-PBE) for a relaxed structure of Nb2BiSe.

a = 4.8029 Å, b = 4.8029 Å, c = 4.8029 Å
α = 60.00°, β = 60.00°, γ = 60.00°
Closest atoms and distances in Å follow each position.
Positions (direct):
1 Nb 0.2500 0.2500 0.2500  4 Se 2.94, 4 Bi 2.94
2 Nb 0.7500 0.7500 0.7500  4 Se 2.94, 4 Bi 2.94
3 Bi 0.0000 0.0000 0.0000  8 Nb 2.94
4 Se 0.5000 0.5000 0.5000  8 Nb 2.94

Summary:
Formation energy without anion corrections: 0.3 eV per formula unit
VASP energy: -27.16 eV per formula unit
Total magnetic moment: 0.9 Bohr magnetons per cell

---

No. 12
Density functional theory data (GGA-PBE) for a relaxed structure of CeSmTmAg.

a = 5.3141 Å, b = 5.3141 Å, c = 5.3141 Å
α = 60.00°, β = 60.00°, γ = 60.00°
Closest atoms and distances in Å follow each position.
Positions (direct):
1 Ce 0.0000 0.0000 0.0000  4 Sm 3.25, 4 Tm 3.25
2 Sm 0.7500 0.7500 0.7500  4 Ce 3.25, 4 Ag 3.25
3 Tm 0.2500 0.2500 0.2500  4 Ce 3.25, 4 Ag 3.25
4 Ag 0.5000 0.5000 0.5000  4 Tm 3.25, 4 Sm 3.25

Summary:
Calculated formation energy: 135 meV/atom
VASP energy: -17.44 eV per formula unit
Total magnetic moment: 2.9 Bohr magnetons per cell